Model P:
# Dy3Sc3NiTe2 | OQMD | PBE-GGA | optimized geometry
# Space-group type: No. 189
data_Dy3Sc3NiTe2
_chemical_formula_sum 'Dy3 Sc3 Ni1 Te2'
_symmetry_space_group_name_H-M 'P 1'
_symmetry_Int_Tables_number 1
_cell_length_a 8.186
_cell_length_b 8.186
_cell_length_c 3.750
_cell_angle_alpha 90.00
_cell_angle_beta 90.00
_cell_angle_gamma 120.00
loop_
_symmetry_equiv_pos_as_xyz
'x,y,z'
loop_
_atom_site_label
_atom_site_type_symbol
_atom_site_fract_x
_atom_site_fract_y
_atom_site_fract_z
Dy1 Dy 0.000 0.244 0.000
Dy2 Dy 0.244 0.000 0.000
Dy3 Dy 0.756 0.756 0.000
Sc1 Sc 0.000 0.597 0.500
Sc2 Sc 0.403 0.403 0.500
Sc3 Sc 0.597 0.000 0.500
Ni1 Ni 0.000 0.000 0.500
Te1 Te 0.333 0.667 0.000
Te2 Te 0.667 0.333 0.000

Model Q:
# Dy3Sc3NiTe2 | OQMD | PBE-GGA | optimized geometry
# Space-group type: No. 189
data_Dy3Sc3NiTe2
_chemical_formula_sum 'Dy3 Sc3 Ni1 Te2'
_symmetry_space_group_name_H-M 'P 1'
_symmetry_Int_Tables_number 1
_cell_length_a 7.997
_cell_length_b 7.997
_cell_length_c 3.929
_cell_angle_alpha 90.00
_cell_angle_beta 90.00
_cell_angle_gamma 120.00
loop_
_symmetry_equiv_pos_as_xyz
'x,y,z'
loop_
_atom_site_label
_atom_site_type_symbol
_atom_site_fract_x
_atom_site_fract_y
_atom_site_fract_z
Dy1 Dy 0.000 0.607 0.000
Dy2 Dy 0.393 0.393 0.000
Dy3 Dy 0.607 0.000 0.000
Sc1 Sc 0.000 0.230 0.500
Sc2 Sc 0.230 0.000 0.500
Sc3 Sc 0.770 0.770 0.500
Ni1 Ni 0.000 0.000 0.000
Te1 Te 0.333 0.667 0.500
Te2 Te 0.667 0.333 0.500

It is model Q that is the most stable of them.

Model P:
# SmDy2Zn2Si4Ni2 | OQMD | PBE-GGA | optimized geometry
# Space-group type: No. 71
data_SmDy2Zn2Si4Ni2
_chemical_formula_sum 'Sm1 Dy2 Zn2 Si4 Ni2'
_symmetry_space_group_name_H-M 'P 1'
_symmetry_Int_Tables_number 1
_cell_length_a 12.497
_cell_length_b 12.497
_cell_length_c 12.497
_cell_angle_alpha 161.55
_cell_angle_beta 161.44
_cell_angle_gamma 26.29
loop_
_symmetry_equiv_pos_as_xyz
'x,y,z'
loop_
_atom_site_label
_atom_site_type_symbol
_atom_site_fract_x
_atom_site_fract_y
_atom_site_fract_z
Sm1 Sm 0.000 0.000 0.000
Dy1 Dy 0.359 0.859 0.500
Dy2 Dy 0.641 0.141 0.500
Zn1 Zn 0.250 0.250 0.000
Zn2 Zn 0.750 0.750 0.000
Si1 Si 0.185 0.685 0.500
Si2 Si 0.450 0.450 0.000
Si3 Si 0.550 0.550 0.000
Si4 Si 0.815 0.315 0.500
Ni1 Ni 0.093 0.593 0.500
Ni2 Ni 0.907 0.407 0.500

Model Q:
# SmDy2Zn2Si4Ni2 | OQMD | PBE-GGA | optimized geometry
# Space-group type: No. 71
data_SmDy2Zn2Si4Ni2
_chemical_formula_sum 'Sm1 Dy2 Zn2 Si4 Ni2'
_symmetry_space_group_name_H-M 'P 1'
_symmetry_Int_Tables_number 1
_cell_length_a 12.200
_cell_length_b 12.200
_cell_length_c 12.200
_cell_angle_alpha 160.99
_cell_angle_beta 160.83
_cell_angle_gamma 27.12
loop_
_symmetry_equiv_pos_as_xyz
'x,y,z'
loop_
_atom_site_label
_atom_site_type_symbol
_atom_site_fract_x
_atom_site_fract_y
_atom_site_fract_z
Sm1 Sm 0.000 0.000 0.000
Dy1 Dy 0.346 0.846 0.500
Dy2 Dy 0.654 0.154 0.500
Zn1 Zn 0.100 0.600 0.500
Zn2 Zn 0.900 0.400 0.500
Si1 Si 0.201 0.701 0.500
Si2 Si 0.450 0.450 0.000
Si3 Si 0.550 0.550 0.000
Si4 Si 0.799 0.299 0.500
Ni1 Ni 0.251 0.251 0.000
Ni2 Ni 0.749 0.749 0.000

It is model Q that is the most stable of them.

Model P:
# Dy3Zn2Si4Ni2 | OQMD | PBE-GGA | optimized geometry
# Space-group type: No. 71
data_Dy3Zn2Si4Ni2
_chemical_formula_sum 'Dy3 Zn2 Si4 Ni2'
_symmetry_space_group_name_H-M 'P 1'
_symmetry_Int_Tables_number 1
_cell_length_a 12.465
_cell_length_b 12.465
_cell_length_c 12.465
_cell_angle_alpha 161.70
_cell_angle_beta 161.45
_cell_angle_gamma 26.17
loop_
_symmetry_equiv_pos_as_xyz
'x,y,z'
loop_
_atom_site_label
_atom_site_type_symbol
_atom_site_fract_x
_atom_site_fract_y
_atom_site_fract_z
Dy1 Dy 0.000 0.000 0.000
Dy2 Dy 0.359 0.859 0.500
Dy3 Dy 0.641 0.141 0.500
Zn1 Zn 0.250 0.250 0.000
Zn2 Zn 0.750 0.750 0.000
Si1 Si 0.185 0.685 0.500
Si2 Si 0.451 0.451 0.000
Si3 Si 0.549 0.549 0.000
Si4 Si 0.815 0.315 0.500
Ni1 Ni 0.093 0.593 0.500
Ni2 Ni 0.907 0.407 0.500

Model Q:
# Dy3Zn2Si4Ni2 | OQMD | PBE-GGA | optimized geometry
# Space-group type: No. 71
data_Dy3Zn2Si4Ni2
_chemical_formula_sum 'Dy3 Zn2 Si4 Ni2'
_symmetry_space_group_name_H-M 'P 1'
_symmetry_Int_Tables_number 1
_cell_length_a 12.223
_cell_length_b 12.223
_cell_length_c 12.223
_cell_angle_alpha 161.27
_cell_angle_beta 160.95
_cell_angle_gamma 26.84
loop_
_symmetry_equiv_pos_as_xyz
'x,y,z'
loop_
_atom_site_label
_atom_site_type_symbol
_atom_site_fract_x
_atom_site_fract_y
_atom_site_fract_z
Dy1 Dy 0.000 0.000 0.000
Dy2 Dy 0.347 0.847 0.500
Dy3 Dy 0.653 0.153 0.500
Zn1 Zn 0.100 0.600 0.500
Zn2 Zn 0.900 0.400 0.500
Si1 Si 0.201 0.701 0.500
Si2 Si 0.451 0.451 0.000
Si3 Si 0.549 0.549 0.000
Si4 Si 0.799 0.299 0.500
Ni1 Ni 0.251 0.251 0.000
Ni2 Ni 0.749 0.749 0.000

It is model Q that is the most stable of them.

Model P:
# Sm3Dy3NiTe2 | OQMD | PBE-GGA | optimized geometry
# Space-group type: No. 189
data_Sm3Dy3NiTe2
_chemical_formula_sum 'Sm3 Dy3 Ni1 Te2'
_symmetry_space_group_name_H-M 'P 1'
_symmetry_Int_Tables_number 1
_cell_length_a 8.484
_cell_length_b 8.484
_cell_length_c 3.959
_cell_angle_alpha 90.00
_cell_angle_beta 90.00
_cell_angle_gamma 120.00
loop_
_symmetry_equiv_pos_as_xyz
'x,y,z'
loop_
_atom_site_label
_atom_site_type_symbol
_atom_site_fract_x
_atom_site_fract_y
_atom_site_fract_z
Sm1 Sm 0.000 0.593 0.000
Sm2 Sm 0.407 0.407 0.000
Sm3 Sm 0.593 0.000 0.000
Dy1 Dy 0.000 0.236 0.500
Dy2 Dy 0.236 0.000 0.500
Dy3 Dy 0.764 0.764 0.500
Ni1 Ni 0.000 0.000 0.000
Te1 Te 0.333 0.667 0.500
Te2 Te 0.667 0.333 0.500

Model Q:
# Sm3Dy3NiTe2 | OQMD | PBE-GGA | optimized geometry
# Space-group type: No. 189
data_Sm3Dy3NiTe2
_chemical_formula_sum 'Sm3 Dy3 Ni1 Te2'
_symmetry_space_group_name_H-M 'P 1'
_symmetry_Int_Tables_number 1
_cell_length_a 8.530
_cell_length_b 8.530
_cell_length_c 3.898
_cell_angle_alpha 90.00
_cell_angle_beta 90.00
_cell_angle_gamma 120.00
loop_
_symmetry_equiv_pos_as_xyz
'x,y,z'
loop_
_atom_site_label
_atom_site_type_symbol
_atom_site_fract_x
_atom_site_fract_y
_atom_site_fract_z
Sm1 Sm 0.000 0.242 0.000
Sm2 Sm 0.242 0.000 0.000
Sm3 Sm 0.758 0.758 0.000
Dy1 Dy 0.000 0.592 0.500
Dy2 Dy 0.408 0.408 0.500
Dy3 Dy 0.592 0.000 0.500
Ni1 Ni 0.000 0.000 0.500
Te1 Te 0.333 0.667 0.000
Te2 Te 0.667 0.333 0.000

It is model P that is the most stable of them.

Model P:
# TbDyNi4 | OQMD | PBE-GGA | optimized geometry
# Space-group type: No. 191
data_TbDyNi4
_chemical_formula_sum 'Tb2 Dy2 Ni8'
_symmetry_space_group_name_H-M 'P 1'
_symmetry_Int_Tables_number 1
_cell_length_a 5.346
_cell_length_b 5.346
_cell_length_c 8.038
_cell_angle_alpha 90.00
_cell_angle_beta 90.00
_cell_angle_gamma 120.00
loop_
_symmetry_equiv_pos_as_xyz
'x,y,z'
loop_
_atom_site_label
_atom_site_type_symbol
_atom_site_fract_x
_atom_site_fract_y
_atom_site_fract_z
Tb1 Tb 0.000 0.000 0.000
Tb2 Tb 0.000 0.000 0.500
Dy1 Dy 0.333 0.667 0.000
Dy2 Dy 0.667 0.333 0.000
Ni1 Ni 0.000 0.500 0.273
Ni2 Ni 0.000 0.500 0.727
Ni3 Ni 0.333 0.667 0.500
Ni4 Ni 0.500 0.000 0.273
Ni5 Ni 0.500 0.000 0.727
Ni6 Ni 0.500 0.500 0.273
Ni7 Ni 0.500 0.500 0.727
Ni8 Ni 0.667 0.333 0.500

Model Q:
# TbDyNi4 | OQMD | PBE-GGA | optimized geometry
# Space-group type: No. 216
data_TbDyNi4
_chemical_formula_sum 'Tb1 Dy1 Ni4'
_symmetry_space_group_name_H-M 'P 1'
_symmetry_Int_Tables_number 1
_cell_length_a 5.053
_cell_length_b 5.053
_cell_length_c 5.053
_cell_angle_alpha 60.00
_cell_angle_beta 60.00
_cell_angle_gamma 60.00
loop_
_symmetry_equiv_pos_as_xyz
'x,y,z'
loop_
_atom_site_label
_atom_site_type_symbol
_atom_site_fract_x
_atom_site_fract_y
_atom_site_fract_z
Tb1 Tb 0.000 0.000 0.000
Dy1 Dy 0.250 0.250 0.250
Ni1 Ni 0.125 0.625 0.625
Ni2 Ni 0.625 0.125 0.625
Ni3 Ni 0.625 0.625 0.125
Ni4 Ni 0.625 0.625 0.625

It is model Q that is the most stable of them.

Model P:
# DyNi2Te | OQMD | PBE-GGA | optimized geometry
# Space-group type: No. 31
data_DyNi2Te
_chemical_formula_sum 'Dy2 Ni4 Te2'
_symmetry_space_group_name_H-M 'P 1'
_symmetry_Int_Tables_number 1
_cell_length_a 4.179
_cell_length_b 6.232
_cell_length_c 5.497
_cell_angle_alpha 90.00
_cell_angle_beta 90.00
_cell_angle_gamma 90.00
loop_
_symmetry_equiv_pos_as_xyz
'x,y,z'
loop_
_atom_site_label
_atom_site_type_symbol
_atom_site_fract_x
_atom_site_fract_y
_atom_site_fract_z
Dy1 Dy 0.000 0.086 0.000
Dy2 Dy 0.500 0.914 0.500
Ni1 Ni 0.000 0.253 0.495
Ni2 Ni 0.000 0.657 0.731
Ni3 Ni 0.500 0.343 0.231
Ni4 Ni 0.500 0.747 0.995
Te1 Te 0.000 0.613 0.228
Te2 Te 0.500 0.387 0.728

Model Q:
# DyNi2Te | OQMD | PBE-GGA | optimized geometry
# Space-group type: No. 26
data_DyNi2Te
_chemical_formula_sum 'Dy2 Ni4 Te2'
_symmetry_space_group_name_H-M 'P 1'
_symmetry_Int_Tables_number 1
_cell_length_a 4.235
_cell_length_b 5.001
_cell_length_c 7.078
_cell_angle_alpha 90.00
_cell_angle_beta 90.00
_cell_angle_gamma 90.00
loop_
_symmetry_equiv_pos_as_xyz
'x,y,z'
loop_
_atom_site_label
_atom_site_type_symbol
_atom_site_fract_x
_atom_site_fract_y
_atom_site_fract_z
Dy1 Dy 0.000 0.196 0.000
Dy2 Dy 0.000 0.804 0.500
Ni1 Ni 0.000 0.299 0.394
Ni2 Ni 0.000 0.701 0.894
Ni3 Ni 0.500 0.139 0.269
Ni4 Ni 0.500 0.861 0.769
Te1 Te 0.500 0.314 0.614
Te2 Te 0.500 0.686 0.114

It is model P that is the most stable of them.

Model P:
# Dy5Tm2Ni2Te2 | OQMD | PBE-GGA | optimized geometry
# Space-group type: No. 44
data_Dy5Tm2Ni2Te2
_chemical_formula_sum 'Dy5 Tm2 Ni2 Te2'
_symmetry_space_group_name_H-M 'P 1'
_symmetry_Int_Tables_number 1
_cell_length_a 9.319
_cell_length_b 9.319
_cell_length_c 9.319
_cell_angle_alpha 156.26
_cell_angle_beta 66.74
_cell_angle_gamma 118.66
loop_
_symmetry_equiv_pos_as_xyz
'x,y,z'
loop_
_atom_site_label
_atom_site_type_symbol
_atom_site_fract_x
_atom_site_fract_y
_atom_site_fract_z
Dy1 Dy 0.000 0.000 0.000
Dy2 Dy 0.064 0.379 0.684
Dy3 Dy 0.084 0.731 0.353
Dy4 Dy 0.379 0.731 0.647
Dy5 Dy 0.695 0.379 0.316
Tm1 Tm 0.449 0.582 0.867
Tm2 Tm 0.715 0.582 0.133
Ni1 Ni 0.310 0.071 0.239
Ni2 Ni 0.832 0.071 0.761
Te1 Te 0.337 0.337 0.000
Te2 Te 0.733 0.233 0.500

Model Q:
# Dy5Tm2Ni2Te2 | OQMD | PBE-GGA | optimized geometry
# Space-group type: No. 44
data_Dy5Tm2Ni2Te2
_chemical_formula_sum 'Dy5 Tm2 Ni2 Te2'
_symmetry_space_group_name_H-M 'P 1'
_symmetry_Int_Tables_number 1
_cell_length_a 9.328
_cell_length_b 9.328
_cell_length_c 9.328
_cell_angle_alpha 156.23
_cell_angle_beta 66.84
_cell_angle_gamma 118.56
loop_
_symmetry_equiv_pos_as_xyz
'x,y,z'
loop_
_atom_site_label
_atom_site_type_symbol
_atom_site_fract_x
_atom_site_fract_y
_atom_site_fract_z
Dy1 Dy 0.000 0.000 0.000
Dy2 Dy 0.083 0.731 0.352
Dy3 Dy 0.379 0.731 0.648
Dy4 Dy 0.449 0.582 0.867
Dy5 Dy 0.715 0.582 0.133
Tm1 Tm 0.064 0.380 0.684
Tm2 Tm 0.695 0.380 0.316
Ni1 Ni 0.308 0.071 0.238
Ni2 Ni 0.833 0.071 0.762
Te1 Te 0.336 0.336 0.000
Te2 Te 0.736 0.236 0.500

It is model Q that is the most stable of them.

Model P:
# Dy4YTm2Ni2Te2 | OQMD | PBE-GGA | optimized geometry
# Space-group type: No. 44
data_Dy4YTm2Ni2Te2
_chemical_formula_sum 'Dy4 Y1 Tm2 Ni2 Te2'
_symmetry_space_group_name_H-M 'P 1'
_symmetry_Int_Tables_number 1
_cell_length_a 9.334
_cell_length_b 9.334
_cell_length_c 9.334
_cell_angle_alpha 156.29
_cell_angle_beta 66.89
_cell_angle_gamma 118.48
loop_
_symmetry_equiv_pos_as_xyz
'x,y,z'
loop_
_atom_site_label
_atom_site_type_symbol
_atom_site_fract_x
_atom_site_fract_y
_atom_site_fract_z
Dy1 Dy 0.132 0.000 0.132
Dy2 Dy 0.516 0.202 0.314
Dy3 Dy 0.868 0.000 0.868
Dy4 Dy 0.887 0.202 0.686
Y1 Y 0.581 0.581 0.000
Tm1 Tm 0.205 0.852 0.353
Tm2 Tm 0.499 0.852 0.647
Ni1 Ni 0.271 0.508 0.763
Ni2 Ni 0.745 0.508 0.237
Te1 Te 0.247 0.247 0.000
Te2 Te 0.846 0.346 0.500

Model Q:
# Dy4YTm2Ni2Te2 | OQMD | PBE-GGA | optimized geometry
# Space-group type: No. 44
data_Dy4YTm2Ni2Te2
_chemical_formula_sum 'Dy4 Y1 Tm2 Ni2 Te2'
_symmetry_space_group_name_H-M 'P 1'
_symmetry_Int_Tables_number 1
_cell_length_a 9.355
_cell_length_b 9.355
_cell_length_c 9.355
_cell_angle_alpha 156.26
_cell_angle_beta 66.91
_cell_angle_gamma 118.48
loop_
_symmetry_equiv_pos_as_xyz
'x,y,z'
loop_
_atom_site_label
_atom_site_type_symbol
_atom_site_fract_x
_atom_site_fract_y
_atom_site_fract_z
Dy1 Dy 0.132 0.000 0.132
Dy2 Dy 0.204 0.850 0.353
Dy3 Dy 0.497 0.850 0.647
Dy4 Dy 0.868 0.000 0.868
Y1 Y 0.582 0.582 0.000
Tm1 Tm 0.517 0.201 0.315
Tm2 Tm 0.886 0.201 0.685
Ni1 Ni 0.272 0.510 0.762
Ni2 Ni 0.749 0.510 0.238
Te1 Te 0.246 0.246 0.000
Te2 Te 0.846 0.346 0.500

It is model Q that is the most stable of them.